# 1
BaAl2RhI: optimized geometry, PBE.

abc: 4.8712 4.8712 6.2419
angles: 90.00 90.00 90.00
With the nearest neighbours (Å) after each atom.
Element x y z (fractional)
Ba  0.0000  0.0000  0.0000  2 Rh 3.12, 4 I 3.44
Al  0.0000  0.5000  0.5000  2 Rh 2.44
Al  0.5000  0.0000  0.5000  2 Rh 2.44
Rh  0.0000  0.0000  0.5000  4 Al 2.44
I  0.5000  0.5000  0.0000  4 Ba 3.44

Calculated values
Crystal system: tetragonal
Final energy, eV per atom: -4.28
Theoretical density, g/cm³: 4.7
Formation energy without anion corrections, kJ/mol of atoms: -59.2

***

# 2
TbDyCoOs: optimized geometry, PBE.

abc: 4.7968 4.7968 4.7968
angles: 60.00 60.00 60.00
With the nearest neighbours (Å) after each atom.
Element x y z (fractional)
Tb  0.0000  0.0000  0.0000  4 Os 2.94, 4 Co 2.94
Dy  0.5000  0.5000  0.5000  4 Os 2.94, 4 Co 2.94
Co  0.2500  0.2500  0.2500  4 Dy 2.94, 4 Tb 2.94
Os  0.7500  0.7500  0.7500  4 Dy 2.94, 4 Tb 2.94

Calculated values
Crystal system: cubic
ΔE_f, meV/atom: -100.4
Final energy, eV per atom: -6.99
Theoretical density, g/cm³: 12.1

***

# 3
TcOs2Br: optimized geometry, PBE.

abc: 3.9368 3.9368 4.0099
angles: 90.00 90.00 90.00
With the nearest neighbours (Å) after each atom.
Element x y z (fractional)
Tc  0.0000  0.0000  0.0000  4 Br 2.78, 8 Os 2.81
Os  0.0000  0.5000  0.5000  4 Os 2.78, 4 Tc 2.81, 4 Br 2.81
Os  0.5000  0.0000  0.5000  4 Os 2.78, 4 Tc 2.81, 4 Br 2.81
Br  0.5000  0.5000  0.0000  4 Tc 2.78, 8 Os 2.81

Calculated values
Crystal system: tetragonal
Final energy, eV per atom: -7.07
Theoretical density, g/cm³: 14.9
Formation energy without anion corrections, kJ/mol of atoms: 150.2

***

# 4
Li3In2Bi2: optimized geometry, PBE.

abc: 7.6169 7.6169 7.6169
angles: 109.47 109.47 109.47
With the nearest neighbours (Å) after each atom.
Element x y z (fractional)
Li  0.2209  0.9709  0.2500  2 In 2.97, 4 Bi 2.98-3.00, 4 Li 3.31
Li  0.2500  0.2209  0.9709  2 In 2.97, 4 Bi 2.98-3.00, 4 Li 3.31
Li  0.2791  0.5291  0.7500  2 In 2.97, 4 Bi 2.98-3.00, 4 Li 3.31
Li  0.5291  0.7500  0.2791  2 In 2.97, 4 Bi 2.98-3.00, 4 Li 3.31
Li  0.7500  0.2791  0.5291  2 In 2.97, 4 Bi 2.98-3.00, 4 Li 3.31
Li  0.9709  0.2500  0.2209  2 In 2.97, 4 Bi 2.98-3.00, 4 Li 3.31
In  0.0000  0.6508  0.5000  3 Li 2.97, 1 Bi 3.04
In  0.5000  0.0000  0.6508  3 Li 2.97, 1 Bi 3.04
In  0.6508  0.5000  0.0000  3 Li 2.97, 1 Bi 3.04
In  0.8492  0.8492  0.8492  3 Li 2.97, 1 Bi 3.04
Bi  0.0000  0.0497  0.5000  6 Li 2.98-3.00, 1 In 3.04
Bi  0.0497  0.5000  0.0000  6 Li 2.98-3.00, 1 In 3.04
Bi  0.4503  0.4503  0.4503  6 Li 2.98-3.00, 1 In 3.04
Bi  0.5000  0.0000  0.0497  6 Li 2.98-3.00, 1 In 3.04

Calculated values
Crystal system: cubic
ΔE_f, meV/atom: -199.4
Final energy, eV per atom: -2.91
Theoretical density, g/cm³: 6.5

***

# 5
Sc3AlN: optimized geometry, PBE.

abc: 7.5367 7.5367 7.6769
angles: 90.31 90.31 26.26
With the nearest neighbours (Å) after each atom.
Element x y z (fractional)
Sc  0.0251  0.0251  0.2826  1 N 2.43
Sc  0.2061  0.2061  0.1375  1 N 2.04
Sc  0.3368  0.3368  0.4516  2 N 2.08
Sc  0.6632  0.6632  0.5484  2 N 2.08
Sc  0.7939  0.7939  0.8625  1 N 2.04
Sc  0.9749  0.9749  0.7174  1 N 2.43
Al  0.4106  0.4106  0.0592  1 Al 2.78, 5 Sc 2.85-3.07
Al  0.5894  0.5894  0.9408  1 Al 2.78, 5 Sc 2.85-3.07
N  0.1799  0.1799  0.3976  3 Sc 2.04-2.08
N  0.8201  0.8201  0.6024  3 Sc 2.04-2.08

Calculated values
Crystal system: monoclinic
Final energy, eV per atom: -6.89
Theoretical density, g/cm³: 3.0
Formation energy without anion corrections, kJ/mol of atoms: -65.5

***

# 6
Mg8NiPt2: optimized geometry, PBE.

abc: 7.5498 7.5498 7.5498
angles: 146.36 121.13 69.54
With the nearest neighbours (Å) after each atom.
Element x y z (fractional)
Mg  0.1240  0.3428  0.7812  3 Pt 2.76-2.78, 1 Ni 2.86, 5 Mg 2.94-3.03
Mg  0.1414  0.1414  0.0000  2 Ni 2.80, 8 Mg 2.90-3.03, 2 Pt 2.98
Mg  0.3115  0.0000  0.3115  2 Pt 2.79, 7 Mg 2.80-2.94
Mg  0.4384  0.6572  0.7812  3 Pt 2.76-2.78, 1 Ni 2.86, 5 Mg 2.94-3.03
Mg  0.5616  0.3428  0.2188  3 Pt 2.76-2.78, 1 Ni 2.86, 5 Mg 2.94-3.03
Mg  0.6885  0.0000  0.6885  2 Pt 2.79, 7 Mg 2.80-2.94
Mg  0.8586  0.8586  0.0000  2 Ni 2.80, 8 Mg 2.90-3.03, 2 Pt 2.98
Mg  0.8760  0.6572  0.2188  3 Pt 2.76-2.78, 1 Ni 2.86, 5 Mg 2.94-3.03
Ni  0.0000  0.5000  0.5000  8 Mg 2.80-2.86
Pt  0.3051  0.8051  0.5000  10 Mg 2.76-2.98
Pt  0.6949  0.1949  0.5000  10 Mg 2.76-2.98

Calculated values
Crystal system: orthorhombic
ΔE_f, meV/atom: -426.9
Final energy, eV per atom: -3.21
Theoretical density, g/cm³: 5.3